Density functional theory data (PBE with a Hubbard U) for an optimized crystal structure of Cr2NO.

Values from the calculation:
energy relative to the lowest polymorph listed for this composition	596	meV per atom
raw total energy	-113.54	eV per cell
theoretical density	5.51	Mg/m³
V	40.4	Å³/f.u.

Cell: 5.4459 5.4459 5.4459 Å, 90.00 90.00 90.00°
Closest atoms and distances in Å follow each position.
Space group Fm-3m (No. 225)
Asymmetric unit:
Cr: 0.2500 0.2500 0.2500 [8 per cell]  4 O 2.36, 4 N 2.36
N: 0.0000 0.0000 0.0000 [4 per cell]  8 Cr 2.36
O: 0.0000 0.0000 0.5000 [4 per cell]  8 Cr 2.36